## Ba2AlFeO6 (PBE+U)

Data for a geometry-optimized Ba2AlFeO6 structure.

Properties
* Fermi-level density of states: 7.97 states/eV/f.u.
* DFT total energy: -6.435 eV/atom

abc: 8.0137 8.0204 5.6650
angles: 90.00 134.91 90.00
With the nearest neighbours (Å) after each atom.
Space group C2/m (No. 12)
One atom of each set of equivalent atoms:
Ba 0.0000 0.2499 0.0000 [4 per cell]  12 O 2.83-2.84
Al 0.0000 0.0000 0.5000 [2 per cell]  6 O 1.96
Fe 0.0000 0.5000 0.5000 [2 per cell]  6 O 2.05
O 0.0000 0.2444 0.5000 [4 per cell]  1 Al 1.96, 1 Fe 2.05
O 0.2444 0.0000 0.9885 [4 per cell]  1 Al 1.96, 1 Fe 2.05
O 0.2448 0.0000 0.5002 [4 per cell]  1 Al 1.96, 1 Fe 2.05